A plane-wave DFT calculation with PBE-GGA was carried out for crystalline LaGeTe3 at its relaxed geometry.

The structure belongs to space group Pbcm (No. 57); the cell edges are 12.603, 7.960 and 6.473 Å and the angles 90.00°, 90.00° and 90.00°. Symmetry generates all atoms from La at (0.161, 0.052, 0.250), Ge at (0.431, 0.250, 0.000), Te at (0.037, 0.750, 0.000), Te at (0.254, 0.076, 0.750) and Te at (0.413, 0.565, 0.750).

For the energy above the most stable polymorph in this dataset, the calculation gives 48 meV per atom. As for the crystal system: orthorhombic. For the total energy, the calculation gives -4.56 eV per atom. The calculation puts the total moment at 0.0 μB/f.u.